# 1
Below is a relaxed LaTaGa2 crystal, with properties calculated at the PBE level.

Geometry as extended XYZ:
```
16
Lattice="4.7076 0.0000 0.0000 0.0000 4.7076 0.0000 0.0000 0.0000 18.5482" Properties=species:S:1:pos:R:3 pbc="T T T"
La 0.0000 0.0000 0.0000
La 0.0000 2.3538 4.6371
La 2.3538 0.0000 13.9112
La 2.3538 2.3538 9.2741
Ta 0.0000 0.0000 9.2741
Ta 0.0000 2.3538 13.9112
Ta 2.3538 0.0000 4.6371
Ta 2.3538 2.3538 0.0000
Ga 0.4909 1.1769 11.5926
Ga 1.1769 2.8447 16.2297
Ga 1.1769 4.2167 6.9556
Ga 1.8629 1.1769 2.3185
Ga 2.8447 3.5307 2.3185
Ga 3.5307 0.4909 6.9556
Ga 3.5307 1.8629 16.2297
Ga 4.2167 3.5307 11.5926
```

- E above lowest polymorph (meV per atom) = 262
- ΔE_f (eV per atom) = 0.2447
- space group = No. 122
- E (eV per atom) = -5.46


# 2
Below is a relaxed Na2CdIn2 crystal, with properties calculated at the PBE level.

Geometry as extended XYZ:
```
10
Lattice="5.8061 -2.6819 0.0000 5.8061 2.6819 0.0000 -2.6300 0.0000 8.2708" Properties=species:S:1:pos:R:3 pbc="T T T"
Na 1.9227 1.0315 1.2334
Na 0.6077 -1.0315 5.3688
Na 8.3745 1.0315 2.9019
Na 7.0595 -1.0315 7.0373
Cd 5.1486 1.5722 2.0677
Cd 3.8336 -1.5722 6.2031
In 3.2509 1.0850 4.5668
In 4.4163 1.0850 7.8393
In 4.5659 -1.0850 0.4314
In 5.7313 -1.0850 3.7040
```

- E above lowest polymorph (meV per atom) = 0
- ΔE_f (eV per atom) = -0.0931
- space group = No. 15
- E (eV per atom) = -1.90


# 3
Below is a relaxed LiMgAsN2 crystal, with properties calculated at the PBE level.

Geometry as extended XYZ:
```
5
Lattice="3.8252 0.0000 0.0000 0.0000 3.8252 0.0000 0.0000 0.0000 4.1986" Properties=species:S:1:pos:R:3 pbc="T T T"
Li 0.0000 0.0000 0.0000
Mg 0.0000 0.0000 2.0993
As 1.9126 1.9126 2.0993
N 0.0000 1.9126 0.0000
N 1.9126 0.0000 0.0000
```

- space group = No. 123
- energy relative to the elements, uncorrected (eV/atom) = 1.33
- E (eV per atom) = -3.63


# 4
Below is a relaxed La6Mg5Tl crystal, with properties calculated at the PBE level.

Geometry as extended XYZ:
```
12
Lattice="5.6114 0.0000 0.0000 0.0000 7.8973 0.0000 -2.7954 0.0000 8.4350" Properties=species:S:1:pos:R:3 pbc="T T T"
La 0.0000 1.9765 0.0000
La 0.0000 5.9208 0.0000
La 0.0072 1.9587 5.6245
La 0.0072 5.9386 5.6245
La 2.8089 1.9587 2.8105
La 2.8089 5.9386 2.8105
Mg 0.0033 0.0000 2.8119
Mg 0.0047 3.9487 2.8836
Mg 2.8057 0.0000 0.0000
Mg 2.8114 3.9487 5.5514
Mg 2.8128 0.0000 5.6230
Tl 2.8057 3.9487 0.0000
```

- ΔE_f (eV per atom) = -0.1710
- space group = No. 10
- E (eV per atom) = -3.50


# 5
Below is a relaxed CsRbTeI2 crystal, with properties calculated at the PBE level.

Geometry as extended XYZ:
```
5
Lattice="6.9539 0.0000 0.0000 0.0000 6.9539 0.0000 0.0000 0.0000 6.7224" Properties=species:S:1:pos:R:3 pbc="T T T"
Cs 0.0000 0.0000 0.0000
Rb 3.4769 3.4769 3.3612
Te 3.4769 3.4769 0.0000
I 0.0000 3.4769 3.3612
I 3.4769 0.0000 3.3612
```

- E above lowest polymorph (meV per atom) = 0
- space group = No. 123
- energy relative to the elements, uncorrected (eV/atom) = -0.60
- E (eV per atom) = -2.21


# 6
Below is a relaxed Sm2AlI crystal, with properties calculated at the PBE level.

Geometry as extended XYZ:
```
4
Lattice="3.6284 0.0000 0.0000 0.0000 3.6284 0.0000 0.0000 0.0000 8.5274" Properties=species:S:1:pos:R:3 pbc="T T T"
Sm 0.0000 0.0000 1.8968
Sm 0.0000 0.0000 6.6306
Al 1.8142 1.8142 0.0000
I 1.8142 1.8142 4.2637
```

- E above lowest polymorph (meV per atom) = 18
- space group = No. 123
- energy relative to the elements, uncorrected (eV/atom) = -0.54
- E (eV per atom) = -4.23


# 7
Below is a relaxed Nd3ZnHg5 crystal, with properties calculated at the PBE level.

Geometry as extended XYZ:
```
18
Lattice="9.1227 0.0000 0.0000 -4.5613 7.9005 0.0000 0.0000 0.0000 6.4588" Properties=species:S:1:pos:R:3 pbc="T T T"
Nd -1.5073 2.6108 1.6147
Nd -3.0540 5.2897 4.8441
Nd 3.0146 0.0000 1.6147
Nd 1.5073 2.6108 4.8441
Nd 6.1080 0.0000 4.8441
Nd 3.0540 5.2897 1.6147
Zn 0.0000 0.0000 0.0000
Zn 0.0000 0.0000 3.2294
Hg -1.5103 2.6159 4.8441
Hg -3.0511 5.2846 1.6147
Hg 3.0206 0.0000 4.8441
Hg 1.5103 2.6159 1.6147
Hg 0.0000 5.2670 0.0000
Hg 0.0000 5.2670 3.2294
Hg 4.5613 2.6335 0.0000
Hg 4.5613 2.6335 3.2294
Hg 6.1021 0.0000 1.6147
Hg 3.0511 5.2846 4.8441
```

- ΔE_f (eV per atom) = -0.3993
- space group = No. 193
- E (eV per atom) = -2.30


# 8
Below is a relaxed K5HgAu4 crystal, with properties calculated at the PBE level.

Geometry as extended XYZ:
```
10
Lattice="4.0520 0.0000 0.0000 0.0000 4.0520 0.0000 0.0000 0.0000 19.9714" Properties=species:S:1:pos:R:3 pbc="T T T"
K 0.0000 0.0000 0.0000
K 0.0000 0.0000 3.8859
K 0.0000 0.0000 7.7193
K 0.0000 0.0000 12.2520
K 0.0000 0.0000 16.0854
Hg 2.0260 2.0260 9.9857
Au 2.0260 2.0260 1.9774
Au 2.0260 2.0260 5.9500
Au 2.0260 2.0260 14.0214
Au 2.0260 2.0260 17.9940
```

- ΔE_f (eV per atom) = -0.2827
- space group = No. 123
- E (eV per atom) = -2.17


# 9
Below is a relaxed Tc2NiGeH crystal, with properties calculated at the PBE level.

Geometry as extended XYZ:
```
5
Lattice="4.1914 0.0000 0.0000 0.0000 4.1914 0.0000 0.0000 0.0000 3.2122" Properties=species:S:1:pos:R:3 pbc="T T T"
Tc 0.0000 2.0957 0.0000
Tc 2.0957 0.0000 0.0000
Ni 0.0000 0.0000 1.6061
Ge 2.0957 2.0957 1.6061
H 0.0000 0.0000 0.0000
```

- space group = No. 123
- E (eV per atom) = -6.87


# 10
Below is a relaxed SrCS2 crystal, with properties calculated at the PBE level.

Geometry as extended XYZ:
```
12
Lattice="4.6578 0.0000 0.0000 -2.3289 4.0338 0.0000 0.0000 0.0000 18.3452" Properties=species:S:1:pos:R:3 pbc="T T T"
Sr 0.0000 0.0000 0.0000
Sr 0.0000 2.6892 12.2302
Sr 2.3289 1.3446 6.1151
C 0.0000 0.0000 9.1726
C 0.0000 2.6892 3.0575
C 2.3289 1.3446 15.2877
S 0.0000 0.0000 7.5280
S 0.0000 0.0000 10.8173
S 0.0000 2.6892 1.4129
S 0.0000 2.6892 4.7022
S 2.3289 1.3446 13.6430
S 2.3289 1.3446 16.9323
```

- space group = No. 166
- energy relative to the elements, uncorrected (eV/atom) = -0.07
- E (eV per atom) = -4.86


# 11
Below is a relaxed Ce12HoOs6 crystal, with properties calculated at the PBE level.

Geometry as extended XYZ:
```
19
Lattice="6.5103 3.7588 3.2883 -6.5103 3.7588 3.2883 0.0000 -7.5175 3.2883" Properties=species:S:1:pos:R:3 pbc="T T T"
Ce -2.5472 -3.1056 3.2883
Ce -3.9632 -0.6531 3.2883
Ce 0.0000 -1.9289 1.5771
Ce -1.6705 0.9644 1.5771
Ce 1.6705 0.9644 1.5771
Ce -3.9632 0.6531 6.5766
Ce -1.4160 3.7587 3.2883
Ce -2.5472 3.1056 6.5766
Ce 1.4160 3.7587 3.2883
Ce -1.6705 -0.9644 8.2878
Ce 1.6705 -0.9644 8.2878
Ce 0.0000 1.9289 8.2878
Ho 0.0000 0.0000 4.9325
Os -3.6473 -2.1058 5.8374
Os 0.0000 -4.2116 4.0275
Os -3.6473 2.1058 4.0275
Os 3.6473 -2.1058 5.8374
Os 0.0000 4.2116 5.8374
Os 3.6473 2.1058 4.0275
```

- ΔE_f (eV per atom) = -0.0165
- space group = No. 166
- E (eV per atom) = -7.55


# 12
Below is a relaxed RbLiTe2N crystal, with properties calculated at the PBE level.

Geometry as extended XYZ:
```
5
Lattice="6.6794 0.0000 0.0000 0.0000 6.6794 0.0000 0.0000 0.0000 5.3580" Properties=species:S:1:pos:R:3 pbc="T T T"
Rb 0.0000 0.0000 0.0000
Li 3.3397 3.3397 2.6790
Te 0.0000 3.3397 0.0000
Te 3.3397 0.0000 0.0000
N 0.0000 0.0000 2.6790
```

- E above lowest polymorph (meV per atom) = 669
- space group = No. 123
- energy relative to the elements, uncorrected (eV/atom) = 1.16
- E (eV per atom) = -2.34


> Among the records above, which one has the lowest E?

Ce12HoOs6